<A>
Below is crystalline CsNi2Os at its relaxed geometry, with properties calculated at the PBE-GGA level.

## Properties
DOS(E_F): 12.2 states/eV per cell
Total moment: 0.00 μB/f.u.
V: 25.82 A^3/atom

Geometry as CIF:
```
data_CsNi2Os
_space_group_name_H-M_alt 'A m m 2'
_space_group_IT_number 38
_cell_length_a 3.999
_cell_length_b 4.996
_cell_length_c 20.674
_cell_angle_alpha 90.00
_cell_angle_beta 90.00
_cell_angle_gamma 90.00
loop_
_space_group_symop_operation_xyz
'x,y,z'
'-x,-y,z'
'-x,y,z'
'x,-y,z'
'x,y+1/2,z+1/2'
'-x,-y+1/2,z+1/2'
'-x,y+1/2,z+1/2'
'x,-y+1/2,z+1/2'
loop_
_atom_site_label
_atom_site_type_symbol
_atom_site_fract_x
_atom_site_fract_y
_atom_site_fract_z
Cs1 Cs 0.000 0.000 0.000
Cs2 Cs 0.500 0.000 0.330
Ni1 Ni 0.000 0.000 0.775
Ni2 Ni 0.500 0.000 0.134
Ni3 Ni 0.500 0.000 0.613
Ni4 Ni 0.500 0.000 0.722
Os1 Os 0.000 0.245 0.170
```

=====

<B>
Below is crystalline CsNi2Os at its relaxed geometry, with properties calculated at the PBE-GGA level.

## Properties
DOS(E_F): 3.9 states/eV per cell
Total moment: 0.00 μB/f.u.
V: 24.72 A^3/atom

Geometry as CIF:
```
data_CsNi2Os
_space_group_name_H-M_alt 'P 1'
_space_group_IT_number 1
_cell_length_a 4.193
_cell_length_b 4.193
_cell_length_c 6.506
_cell_angle_alpha 88.25
_cell_angle_beta 86.56
_cell_angle_gamma 60.00
loop_
_space_group_symop_operation_xyz
'x,y,z'
loop_
_atom_site_label
_atom_site_type_symbol
_atom_site_fract_x
_atom_site_fract_y
_atom_site_fract_z
Cs1 Cs 0.000 0.000 0.000
Ni1 Ni 0.661 0.671 0.500
Ni2 Ni 0.995 0.005 0.500
Os1 Os 0.328 0.338 0.500
```

=====

<C>
Below is crystalline CsNi2Os at its relaxed geometry, with properties calculated at the PBE-GGA level.

## Properties
DOS(E_F): 6.3 states/eV per cell
Total moment: 0.00 μB/f.u.
V: 26.58 A^3/atom

Geometry as CIF:
```
data_CsNi2Os
_space_group_name_H-M_alt 'P 1'
_space_group_IT_number 1
_cell_length_a 4.289
_cell_length_b 4.289
_cell_length_c 13.375
_cell_angle_alpha 91.98
_cell_angle_beta 93.77
_cell_angle_gamma 119.67
loop_
_space_group_symop_operation_xyz
'x,y,z'
loop_
_atom_site_label
_atom_site_type_symbol
_atom_site_fract_x
_atom_site_fract_y
_atom_site_fract_z
Cs1 Cs 0.000 0.000 0.000
Cs2 Cs 0.480 0.521 0.368
Ni1 Ni 0.046 0.742 0.591
Ni2 Ni 0.434 0.790 0.777
Ni3 Ni 0.711 0.078 0.591
Ni4 Ni 0.770 0.453 0.777
Os1 Os 0.097 0.118 0.756
Os2 Os 0.383 0.414 0.611
```

=====

<D>
Below is crystalline CsNi2Os at its relaxed geometry, with properties calculated at the PBE-GGA level.

## Properties
DOS(E_F): 14.7 states/eV per cell
Total moment: 0.00 μB/f.u.
V: 24.50 A^3/atom

Geometry as CIF:
```
data_CsNi2Os
_space_group_name_H-M_alt 'R -3 m'
_space_group_IT_number 166
_space_group_name_Hall '-R 3 2"'
_cell_length_a 4.1882
_cell_length_b 4.1882
_cell_length_c 19.3571
_cell_angle_alpha 90.00
_cell_angle_beta 90.00
_cell_angle_gamma 120.00
loop_
_atom_site_label
_atom_site_type_symbol
_atom_site_fract_x
_atom_site_fract_y
_atom_site_fract_z
Cs1 Cs 0.0000 0.0000 0.0000
Ni1 Ni 0.0000 0.0000 0.1725
Os1 Os 0.0000 0.0000 0.5000
```

=====

Most favorable first, least favorable last: <C>, <A>, <D>, <B>

=====

<A>
Below is crystalline CsNiP2 at its relaxed geometry, with properties calculated at the PBE-GGA level.

## Properties
DOS(E_F): 11.2 states/eV per cell
Total moment: 0.06 μB/f.u.
V: 21.05 A^3/atom

Geometry as CIF:
```
data_CsNiP2
_space_group_name_H-M_alt 'F m -3 m'
_space_group_IT_number 225
_space_group_name_Hall '-F 4 2 3'
_cell_length_a 6.958
_cell_length_b 6.958
_cell_length_c 6.958
_cell_angle_alpha 90.00
_cell_angle_beta 90.00
_cell_angle_gamma 90.00
loop_
_atom_site_label
_atom_site_type_symbol
_atom_site_fract_x
_atom_site_fract_y
_atom_site_fract_z
Cs1 Cs 0.000 0.000 0.000
Ni1 Ni 0.000 0.000 0.500
P1 P 0.250 0.250 0.250
```

=====

<B>
Below is crystalline CsNiP2 at its relaxed geometry, with properties calculated at the PBE-GGA level.

## Properties
DOS(E_F): 8.4 states/eV per cell
Total moment: 0.00 μB/f.u.
V: 25.21 A^3/atom

Geometry as CIF:
```
data_CsNiP2
_space_group_name_H-M_alt 'I 41/a m d'
_space_group_IT_number 141
_cell_length_a 5.345
_cell_length_b 5.345
_cell_length_c 14.115
_cell_angle_alpha 90.00
_cell_angle_beta 90.00
_cell_angle_gamma 90.00
loop_
_space_group_symop_operation_xyz
'x,y,z'
'-x,-y,-z'
'-y+1/4,x+3/4,z+1/4'
'y+1/4,-x+3/4,-z+1/4'
'-x+1/2,-y,z+1/2'
'x+1/2,y,-z+1/2'
'y+1/4,-x+1/4,z+3/4'
'-y+1/4,x+1/4,-z+3/4'
'x,-y,-z'
'-x,y,z'
'-y+1/4,-x+1/4,-z+3/4'
'y+1/4,x+1/4,z+3/4'
'-x+1/2,y,-z+1/2'
'x+1/2,-y,z+1/2'
'y+1/4,x+3/4,-z+1/4'
'-y+1/4,-x+3/4,z+1/4'
'x+1/2,y+1/2,z+1/2'
'-x+1/2,-y+1/2,-z+1/2'
'-y+3/4,x+1/4,z+3/4'
'y+3/4,-x+1/4,-z+3/4'
'-x,-y+1/2,z'
'x,y+1/2,-z'
'y+3/4,-x+3/4,z+1/4'
'-y+3/4,x+3/4,-z+1/4'
'x+1/2,-y+1/2,-z+1/2'
'-x+1/2,y+1/2,z+1/2'
'-y+3/4,-x+3/4,-z+1/4'
'y+3/4,x+3/4,z+1/4'
'-x,y+1/2,-z'
'x,-y+1/2,z'
'y+3/4,x+1/4,-z+3/4'
'-y+3/4,-x+1/4,z+3/4'
loop_
_atom_site_label
_atom_site_type_symbol
_atom_site_fract_x
_atom_site_fract_y
_atom_site_fract_z
Cs1 Cs 0.000 0.250 0.375
Ni1 Ni 0.000 0.250 0.875
P1 P 0.000 0.000 0.000
```

=====

Most favorable first, least favorable last: <B>, <A>